Arrangement a

Compound: Be3Ni
Source: Alexandria via LeMat-Bulk
Functional: GGA-PBEsol
Structure: optimized geometry

Values from the calculation:
D(E_F)   0.2505 states/eV per atom
Symmetry   Fm-3m
Spin magnetization   0.00 μB/f.u.

a = 3.604 Å, b = 3.604 Å, c = 3.604 Å
α = 60.00°, β = 60.00°, γ = 60.00°
Fractional coordinates of all 4 atoms:
1 Ni 0.000 0.000 0.000
2 Be 0.750 0.750 0.750
3 Be 0.250 0.250 0.250
4 Be 0.500 0.500 0.500

***

Arrangement b

Compound: Be3Ni
Source: Alexandria via LeMat-Bulk
Functional: GGA-PBEsol
Structure: optimized geometry

Values from the calculation:
D(E_F)   0.2873 states/eV per atom
Symmetry   Cmcm
Spin magnetization   0.00 μB/f.u.

a = 3.628 Å, b = 4.475 Å, c = 4.475 Å
α = 114.62°, β = 90.00°, γ = 90.00°
Fractional coordinates of all 8 atoms:
1 Be 0.750 0.669 0.863
2 Be 0.750 0.166 0.834
3 Be 0.250 0.863 0.669
4 Be 0.750 0.137 0.331
5 Be 0.250 0.331 0.137
6 Be 0.250 0.834 0.166
7 Ni 0.250 0.358 0.642
8 Ni 0.750 0.642 0.358

***

Arrangement c

Compound: Be3Ni
Source: Alexandria via LeMat-Bulk
Functional: GGA-PBEsol
Structure: optimized geometry

Values from the calculation:
D(E_F)   0.2208 states/eV per atom
Symmetry   Immm
Spin magnetization   0.00 μB/f.u.

a = 2.891 Å, b = 3.333 Å, c = 4.080 Å
α = 114.11°, β = 110.75°, γ = 90.00°
Fractional coordinates of all 4 atoms:
1 Be 0.500 0.000 0.000
2 Be 0.750 0.750 0.501
3 Be 0.250 0.250 0.499
4 Ni 0.000 0.500 0.000

***

The data favor arrangement c; the next most stable structure lies 10 meV per atom above it.

***

Arrangement a

Compound: BeNiPt
Source: Alexandria via LeMat-Bulk
Functional: GGA-PBEsol
Structure: optimized geometry

Values from the calculation:
D(E_F)   0.9273 states/eV per atom
Symmetry   P3m1
Spin magnetization   0.00 μB/f.u.

a = 2.630 Å, b = 3.845 Å, c = 3.845 Å
α = 120.00°, β = 90.00°, γ = 90.00°
Fractional coordinates of all 3 atoms:
1 Ni 0.820 0.333 0.667
2 Pt 0.323 0.667 0.333
3 Be 0.857 0.000 0.000

***

Arrangement b

Compound: BeNiPt
Source: Alexandria via LeMat-Bulk
Functional: GGA-PBEsol
Structure: optimized geometry

Values from the calculation:
D(E_F)   0.6505 states/eV per atom
Symmetry   I4mm
Spin magnetization   0.00 μB/f.u.

a = 2.686 Å, b = 2.686 Å, c = 4.911 Å
α = 105.87°, β = 105.87°, γ = 90.00°
Fractional coordinates of all 3 atoms:
1 Pt 0.348 0.348 0.697
2 Ni 0.645 0.645 0.290
3 Be 0.007 0.007 0.013

***

The data favor arrangement b; the next most stable structure lies 117 meV per atom above it.

***

Arrangement a

Compound: Be2ReNi
Source: Alexandria via LeMat-Bulk
Functional: GGA-PBEsol
Structure: optimized geometry

Values from the calculation:
D(E_F)   1.5612 states/eV per atom
Symmetry   Fm-3m
Spin magnetization   0.01 μB/f.u.

a = 3.839 Å, b = 3.839 Å, c = 3.839 Å
α = 60.00°, β = 60.00°, γ = 60.00°
Fractional coordinates of all 4 atoms:
1 Be 0.750 0.750 0.750
2 Be 0.250 0.250 0.250
3 Ni 0.000 0.000 0.000
4 Re 0.500 0.500 0.500

***

Arrangement b

Compound: Be2ReNi
Source: Alexandria via LeMat-Bulk
Functional: GGA-PBEsol
Structure: optimized geometry

Values from the calculation:
D(E_F)   0.5009 states/eV per atom
Symmetry   Pmmm
Spin magnetization   0.00 μB/f.u.

a = 2.542 Å, b = 2.840 Å, c = 5.530 Å
α = 90.00°, β = 90.00°, γ = 90.00°
Fractional coordinates of all 4 atoms:
1 Be 0.000 0.000 0.787
2 Be 0.000 0.000 0.213
3 Re 0.500 0.500 0.500
4 Ni 0.500 0.500 0.000

***

Arrangement c

Compound: Be2ReNi
Source: Alexandria via LeMat-Bulk
Functional: GGA-PBEsol
Structure: optimized geometry

Values from the calculation:
D(E_F)   1.0483 states/eV per atom
Symmetry   I-4m2
Spin magnetization   0.54 μB/f.u.

a = 3.285 Å, b = 3.285 Å, c = 4.478 Å
α = 111.52°, β = 111.52°, γ = 90.00°
Each line ends with the local moment (μB).
Fractional coordinates of all 4 atoms:
1 Ni 0.500 0.500 0.000  -0.27
2 Re 0.250 0.750 0.500  -0.22
3 Be 0.750 0.250 0.500  0.00
4 Be 0.000 0.000 0.000  -0.01

***

The data favor arrangement b; the next most stable structure lies 203 meV per atom above it.

***

Arrangement a

Compound: BeSiNi
Source: Alexandria via LeMat-Bulk
Functional: GGA-PBEsol
Structure: optimized geometry

Values from the calculation:
D(E_F)   0.2690 states/eV per atom
Symmetry   I4mm
Spin magnetization   0.00 μB/f.u.

a = 2.937 Å, b = 2.937 Å, c = 4.091 Å
α = 111.04°, β = 111.04°, γ = 90.00°
Fractional coordinates of all 3 atoms:
1 Be 0.005 0.005 0.010
2 Ni 0.664 0.664 0.329
3 Si 0.331 0.331 0.662

***

Arrangement b

Compound: BeSiNi
Source: Alexandria via LeMat-Bulk
Functional: GGA-PBEsol
Structure: optimized geometry

Values from the calculation:
D(E_F)   0.3041 states/eV per atom
Symmetry   Imm2
Spin magnetization   0.00 μB/f.u.

a = 2.685 Å, b = 3.215 Å, c = 4.082 Å
α = 113.19°, β = 109.20°, γ = 90.00°
Fractional coordinates of all 3 atoms:
1 Be 0.004 0.004 0.008
2 Si 0.331 0.331 0.662
3 Ni 0.665 0.665 0.330

***

The data favor arrangement b; the next most stable structure lies 9 meV per atom above it.

***

Arrangement a

Compound: BeSiNi2
Source: Alexandria via LeMat-Bulk
Functional: GGA-PBEsol
Structure: optimized geometry

Values from the calculation:
D(E_F)   0.2993 states/eV per atom
Symmetry   I-4m2
Spin magnetization   0.00 μB/f.u.

a = 3.285 Å, b = 3.285 Å, c = 4.323 Å
α = 112.33°, β = 112.33°, γ = 90.00°
Fractional coordinates of all 4 atoms:
1 Ni 0.750 0.250 0.500
2 Ni 0.000 0.000 0.000
3 Be 0.250 0.750 0.500
4 Si 0.500 0.500 0.000

***

Arrangement b

Compound: BeSiNi2
Source: Alexandria via LeMat-Bulk
Functional: GGA-PBEsol
Structure: optimized geometry

Values from the calculation:
D(E_F)   0.4512 states/eV per atom
Symmetry   Fm-3m
Spin magnetization   0.00 μB/f.u.

a = 3.806 Å, b = 3.806 Å, c = 3.806 Å
α = 60.00°, β = 60.00°, γ = 60.00°
Fractional coordinates of all 4 atoms:
1 Be 0.000 0.000 0.000
2 Si 0.500 0.500 0.500
3 Ni 0.750 0.750 0.750
4 Ni 0.250 0.250 0.250

***

Arrangement c

Compound: BeSiNi2
Source: Alexandria via LeMat-Bulk
Functional: GGA-PBEsol
Structure: optimized geometry

Values from the calculation:
D(E_F)   0.4532 states/eV per atom
Symmetry   P4/mmm
Spin magnetization   0.00 μB/f.u.

a = 2.733 Å, b = 2.733 Å, c = 5.240 Å
α = 90.00°, β = 90.00°, γ = 90.00°
Fractional coordinates of all 4 atoms:
1 Ni 0.000 0.000 0.746
2 Ni 0.000 0.000 0.254
3 Be 0.500 0.500 0.500
4 Si 0.500 0.500 0.000

***

The data favor arrangement b; the next most stable structure lies 68 meV per atom above it.

***

Arrangement a

Compound: BeNiSn3
Source: Alexandria via LeMat-Bulk
Functional: GGA-PBEsol
Structure: optimized geometry

Values from the calculation:
D(E_F)   0.4319 states/eV per atom
Symmetry   Pm-3m
Spin magnetization   0.00 μB/f.u.

a = 4.869 Å, b = 4.869 Å, c = 4.869 Å
α = 90.00°, β = 90.00°, γ = 90.00°
Fractional coordinates of all 5 atoms:
1 Ni 0.000 0.000 0.000
2 Sn 0.000 0.000 0.500
3 Sn 0.500 0.000 0.000
4 Sn 0.000 0.500 0.000
5 Be 0.500 0.500 0.500

***

Arrangement b

Compound: BeNiSn3
Source: Alexandria via LeMat-Bulk
Functional: GGA-PBEsol
Structure: optimized geometry

Values from the calculation:
D(E_F)   0.6015 states/eV per atom
Symmetry   Pm-3m
Spin magnetization   0.00 μB/f.u.

a = 4.744 Å, b = 4.744 Å, c = 4.744 Å
α = 90.00°, β = 90.00°, γ = 90.00°
Fractional coordinates of all 5 atoms:
1 Ni 0.500 0.500 0.500
2 Sn 0.000 0.000 0.500
3 Sn 0.000 0.500 0.000
4 Sn 0.500 0.000 0.000
5 Be 0.000 0.000 0.000

***

The data favor arrangement a; the next most stable structure lies 190 meV per atom above it.